## ScCuB2 (PBE-GGA)

Data for a relaxed ScCuB2 crystal.

Results
V (Å³ per atom): 11.0
E_tot (eV per atom): -5.176

Cell: 3.9656 3.9656 3.9656 Å, 60.00 60.00 60.00°
Fractional positions:
B (0.5000, 0.5000, 0.5000)
B (0.2500, 0.2500, 0.2500)
Sc (0.0000, 0.0000, 0.0000)
Cu (0.7500, 0.7500, 0.7500)



## ScCuB4 (PBE-GGA)

Data for a relaxed ScCuB4 crystal.

Results
E above lowest polymorph (eV/f.u.): 0.00
V (Å³ per atom): 9.2

Cell: 5.7906 11.2927 3.3680 Å, 90.00 90.00 90.00°
Fractional positions:
B (0.5260, 0.3049, 0.5000)
B (0.3835, 0.5507, 0.5000)
B (0.6342, 0.0315, 0.5000)
B (0.8658, 0.5315, 0.5000)
Cu (0.3652, 0.4105, 0.0000)
Sc (0.3754, 0.1510, 0.0000)
B (0.1342, 0.4685, 0.5000)
B (0.9740, 0.8049, 0.5000)
B (0.7101, 0.1865, 0.5000)
Sc (0.6246, 0.8490, 0.0000)
Cu (0.1348, 0.9105, 0.0000)
B (0.2101, 0.3135, 0.5000)
B (0.0260, 0.1951, 0.5000)
Sc (0.1246, 0.6510, 0.0000)
B (0.1165, 0.0507, 0.5000)
Sc (0.8754, 0.3490, 0.0000)
B (0.7899, 0.6865, 0.5000)
B (0.6165, 0.4493, 0.5000)
B (0.4740, 0.6951, 0.5000)
Cu (0.6348, 0.5895, 0.0000)
Cu (0.8652, 0.0895, 0.0000)
B (0.3658, 0.9685, 0.5000)
B (0.8835, 0.9493, 0.5000)
B (0.2899, 0.8135, 0.5000)